DFT (PBE) results for crystalline FeTc at its relaxed geometry.

a b c (Å): 4.0132 4.0132 7.7279
angles (deg): 90.00 90.00 120.00
With the nearest neighbours (Å) after each atom.
Space group P6_3/mmc (No. 194)
Symmetry-distinct sites (fractional):
Fe 0.0000 0.0000 0.2500 [2 per cell]  3 Fe 2.32
Fe 0.3333 0.6667 0.2500 [2 per cell]  3 Fe 2.32, 2 Tc 2.52
Tc 0.3333 0.6667 0.5759 [4 per cell]  7 Fe 2.52-2.68, 4 Tc 2.60-2.69

Computed properties:
- Spin magnetization: 4.413 μB/cell
- E_form: 0.303 eV/atom



DFT (PBE) results for crystalline Sn3Ge at its relaxed geometry.

a b c (Å): 4.6688 4.6688 4.6688
angles (deg): 90.00 90.00 90.00
With the nearest neighbours (Å) after each atom.
Space group Pm-3m (No. 221)
Symmetry-distinct sites (fractional):
Sn 0.0000 0.0000 0.5000 [3 per cell]  4 Ge 3.30, 8 Sn 3.30
Ge 0.5000 0.5000 0.5000 [1 per cell]  12 Sn 3.30

Computed properties:
- Spin magnetization: 0.000 μB/cell
- E_form: 0.174 eV/atom



DFT (PBE) results for crystalline KFeGe3 at its relaxed geometry.

a b c (Å): 4.7659 4.7659 4.7659
angles (deg): 90.00 90.00 90.00
With the nearest neighbours (Å) after each atom.
Space group Pm-3m (No. 221)
Symmetry-distinct sites (fractional):
K 0.0000 0.0000 0.0000 [1 per cell]  12 Ge 3.37
Fe 0.5000 0.5000 0.5000 [1 per cell]  6 Ge 2.38
Ge 0.0000 0.5000 0.5000 [3 per cell]  2 Fe 2.38

Computed properties:
- Spin magnetization: 2.865 μB/cell
- E_form: 0.128 eV/atom



DFT (PBE) results for crystalline DyThIr2 at its relaxed geometry.

a b c (Å): 4.9572 4.9572 3.5230
angles (deg): 90.00 90.00 90.00
With the nearest neighbours (Å) after each atom.
Space group P4/mmm (No. 123)
Symmetry-distinct sites (fractional):
Dy 0.0000 0.0000 0.0000 [1 per cell]  8 Ir 3.04
Th 0.5000 0.5000 0.0000 [1 per cell]  8 Ir 3.04
Ir 0.0000 0.5000 0.5000 [2 per cell]  4 Th 3.04, 4 Dy 3.04

Computed properties:
- ΔE to the lowest computed polymorph: 118 meV/atom
- Spin magnetization: 0.000 μB/cell
- E_form: -0.797 eV/atom



DFT (PBE) results for crystalline CaBe2Sn at its relaxed geometry.

a b c (Å): 4.5934 4.5934 16.5368
angles (deg): 90.00 90.00 90.00
With the nearest neighbours (Å) after each atom.
Space group I4_1/amd (No. 141, origin choice 2)
Symmetry-distinct sites (fractional):
Ca 0.0000 0.2500 0.3750 [4 per cell]  4 Sn 3.25, 8 Be 3.30
Be 0.0000 0.0000 0.0000 [8 per cell]  2 Be 2.30, 2 Sn 2.36
Sn 0.0000 0.2500 0.8750 [4 per cell]  4 Be 2.36

Computed properties:
- Spin magnetization: 0.000 μB/cell
- E_form: 0.197 eV/atom



DFT (PBE) results for crystalline Ce3InRu3 at its relaxed geometry.

a b c (Å): 8.7276 8.7276 14.9749
angles (deg): 90.00 90.00 120.00
With the nearest neighbours (Å) after each atom.
Space group R-3 (No. 148, hexagonal axes)
Symmetry-distinct sites (fractional):
Ce 0.0281 0.7359 0.1083 [18 per cell]  1 Ru 2.36
In 0.0000 0.0000 0.3306 [6 per cell]  6 Ru 2.84-3.01
Ru 0.0104 0.6278 0.9315 [18 per cell]  1 Ce 2.36

Computed properties:
- Spin magnetization: 0.001 μB/cell
- E_form: -0.316 eV/atom



DFT (PBE) results for crystalline Zr3NiW at its relaxed geometry.

a b c (Å): 5.0481 5.0481 5.0481
angles (deg): 90.00 90.00 90.00
With the nearest neighbours (Å) after each atom.
Space group Pm-3m (No. 221)
Symmetry-distinct sites (fractional):
Zr 0.0000 0.0000 0.5000 [3 per cell]  2 W 2.52
Ni 0.5000 0.5000 0.5000 [1 per cell]  12 Zr 3.57
W 0.0000 0.0000 0.0000 [1 per cell]  6 Zr 2.52

Computed properties:
- ΔE to the lowest computed polymorph: 436 meV/atom
- Spin magnetization: 0.000 μB/cell
- E_form: 1.144 eV/atom



DFT (PBE) results for crystalline CeLuFePd at its relaxed geometry.

a b c (Å): 6.8709 6.8709 6.8709
angles (deg): 90.00 90.00 90.00
With the nearest neighbours (Å) after each atom.
Space group F-43m (No. 216)
Symmetry-distinct sites (fractional):
Ce 0.0000 0.0000 0.0000 [4 per cell]  4 Fe 2.98, 4 Pd 2.98
Lu 0.0000 0.0000 0.5000 [4 per cell]  4 Fe 2.98, 4 Pd 2.98
Fe 0.2500 0.2500 0.2500 [4 per cell]  4 Ce 2.98, 4 Lu 2.98
Pd 0.2500 0.2500 0.7500 [4 per cell]  4 Ce 2.98, 4 Lu 2.98

Computed properties:
- Spin magnetization: 2.956 μB/cell
- E_form: -0.303 eV/atom



DFT (PBE) results for crystalline La2Sm2DyTm at its relaxed geometry.

a b c (Å): 5.7287 9.9231 7.0983
angles (deg): 90.00 90.00 90.00
With the nearest neighbours (Å) after each atom.
Space group Pmc2_1 (No. 26)
Symmetry-distinct sites (fractional):
La 0.0000 0.0002 0.0000 [2 per cell]  6 La 3.55-3.81, 6 Sm 3.74-3.75, 2 Dy 3.84-3.85
La 0.5000 0.1787 0.2496 [2 per cell]  5 Sm 3.25-3.56
Sm 0.0000 0.3325 0.2484 [2 per cell]  3 Dy 3.21-3.55, 2 La 3.25
Sm 0.5000 0.1659 0.7490 [2 per cell]  2 Dy 3.37, 7 La 3.42-3.75, 2 Tm 3.75-3.77
Dy 0.0000 0.3442 0.7480 [2 per cell]  5 Sm 3.21-3.55
Tm 0.5000 0.5003 0.4979 [2 per cell]  2 Tm 3.55, 2 La 3.65, 4 Dy 3.71, 6 Sm 3.75-3.77

Computed properties:
- Spin magnetization: 0.000 μB/cell
- E_form: 0.060 eV/atom



DFT (PBE) results for crystalline Tl2Hg4PbAu2 at its relaxed geometry.

a b c (Å): 6.3869 6.7983 6.8236
angles (deg): 116.92 90.48 108.64
With the nearest neighbours (Å) after each atom.
Space group P-1 (No. 2)
Symmetry-distinct sites (fractional):
Tl 0.2314 0.4702 0.1108 [2 per cell]  2 Au 3.03-3.21
Hg 0.2515 0.4791 0.6131 [2 per cell]  1 Au 2.93, 1 Pb 3.15, 1 Hg 3.27
Hg 0.2765 0.9871 0.5669 [2 per cell]  2 Au 2.88-2.89, 1 Hg 2.98, 1 Pb 3.22
Pb 0.5000 0.0000 0.0000 [1 per cell]  2 Au 2.94, 4 Hg 3.15-3.22
Au 0.0977 0.0246 0.2000 [2 per cell]  1 Au 2.82, 3 Hg 2.88-2.93, 1 Pb 2.94, 1 Tl 3.03

Computed properties:
- Spin magnetization: 0.000 μB/cell
- E_form: 0.007 eV/atom



DFT (PBE) results for crystalline TmZr4Os5 at its relaxed geometry.

a b c (Å): 3.2934 3.2934 16.6044
angles (deg): 90.00 90.00 90.00
With the nearest neighbours (Å) after each atom.
Space group P4/mmm (No. 123)
Symmetry-distinct sites (fractional):
Tm 0.0000 0.0000 0.0000 [1 per cell]  8 Os 2.94, 4 Tm 3.29
Zr 0.0000 0.0000 0.2009 [2 per cell]  8 Os 2.79-2.89
Zr 0.0000 0.0000 0.4004 [2 per cell]  8 Os 2.83-2.86
Os 0.5000 0.5000 0.1083 [2 per cell]  4 Zr 2.79, 4 Tm 2.94
Os 0.5000 0.5000 0.3035 [2 per cell]  8 Zr 2.83-2.89
Os 0.5000 0.5000 0.5000 [1 per cell]  8 Zr 2.86

Computed properties:
- Spin magnetization: 0.000 μB/cell
- E_form: -0.489 eV/atom



DFT (PBE) results for crystalline LaTlMo at its relaxed geometry.

a b c (Å): 3.7688 3.7688 10.5662
angles (deg): 90.00 90.00 90.00
With the nearest neighbours (Å) after each atom.
Space group I4mm (No. 107)
Symmetry-distinct sites (fractional):
La 0.0000 0.0000 0.0000 [2 per cell]  5 Tl 3.16-3.41, 5 Mo 3.24-3.36
Tl 0.0000 0.0000 0.2990 [2 per cell]  4 Mo 2.89, 1 La 3.16
Mo 0.0000 0.0000 0.6932 [2 per cell]  4 Tl 2.89

Computed properties:
- ΔE to the lowest computed polymorph: 0 meV/atom
- Spin magnetization: 0.012 μB/cell
- E_form: 0.453 eV/atom



DFT (PBE) results for crystalline Cs2U3CuO12 at its relaxed geometry.

a b c (Å): 7.9114 7.9114 17.8388
angles (deg): 90.00 90.00 120.00
With the nearest neighbours (Å) after each atom.
Space group R-3m (No. 166, hexagonal axes)
Symmetry-distinct sites (fractional):
Cs 0.0000 0.0000 0.1298 [6 per cell]  9 O 3.34-3.52
U 0.0000 0.5000 0.0000 [9 per cell]  6 O 1.97-2.14
Cu 0.0000 0.0000 0.5000 [3 per cell]  6 O 1.97
O 0.0806 0.5403 0.3648 [18 per cell]  2 U 2.14
O 0.0961 0.5480 0.1038 [18 per cell]  1 U 1.97, 1 Cu 1.97

Computed properties:
- E_form (uncorrected): -2432 meV per atom
- Spin magnetization: 3.574 μB/cell



DFT (PBE) results for crystalline SrOsF2 at its relaxed geometry.

a b c (Å): 5.3995 5.3995 10.6186
angles (deg): 90.00 90.00 90.00
With the nearest neighbours (Å) after each atom.
Space group I-42d (No. 122)
Symmetry-distinct sites (fractional):
Sr 0.0000 0.0000 0.0000 [4 per cell]  4 F 2.33
Os 0.0000 0.0000 0.5000 [4 per cell]  4 F 2.32
F 0.2494 0.2500 0.6250 [8 per cell]  2 Os 2.32, 2 Sr 2.33

Computed properties:
- ΔE to the lowest computed polymorph: 372 meV/atom
- E_form (uncorrected): -646 meV per atom
- Spin magnetization: 0.000 μB/cell



DFT (PBE) results for crystalline TbBiO at its relaxed geometry.

a b c (Å): 3.6396 3.6396 6.7276
angles (deg): 90.00 90.00 120.00
With the nearest neighbours (Å) after each atom.
Space group P3m1 (No. 156)
Symmetry-distinct sites (fractional):
Tb 0.0000 0.0000 0.0000 [1 per cell]  3 O 2.17
Bi 0.3333 0.6667 0.5798 [1 per cell]  3 Tb 3.52, 6 Bi 3.64
O 0.6667 0.3333 0.0780 [1 per cell]  3 Tb 2.17

Computed properties:
- ΔE to the lowest computed polymorph: 137 meV/atom
- E_form (uncorrected): -1966 meV per atom
- Spin magnetization: 0.000 μB/cell



DFT (PBE) results for crystalline HRhAu at its relaxed geometry.

a b c (Å): 5.0413 2.9085 9.8388
angles (deg): 90.00 100.29 90.00
With the nearest neighbours (Å) after each atom.
Space group C2/m (No. 12)
Symmetry-distinct sites (fractional):
H 0.1863 0.0000 0.0608 [4 per cell]  4 Rh 1.83-1.90, 1 H 2.04
Rh 0.1211 0.0000 0.8643 [4 per cell]  4 H 1.83-1.90
Au 0.2081 0.5000 0.6238 [4 per cell]  3 Rh 2.86-2.88, 9 Au 2.91-2.93, 1 H 3.05

Computed properties:
- ΔE to the lowest computed polymorph: 0 meV/atom
- Spin magnetization: 0.000 μB/cell



DFT (PBE) results for crystalline TcNiCl2 at its relaxed geometry.

a b c (Å): 12.3578 3.0286 4.3943
angles (deg): 90.00 95.67 90.00
With the nearest neighbours (Å) after each atom.
Space group C2/m (No. 12)
Symmetry-distinct sites (fractional):
Tc 0.0000 0.0000 0.0000 [2 per cell]  4 Cl 2.40, 4 Ni 2.67
Ni 0.0000 0.5000 0.5000 [2 per cell]  2 Cl 2.20
Cl 0.1374 0.5000 0.2170 [4 per cell]  1 Ni 2.20, 2 Tc 2.40

Computed properties:
- ΔE to the lowest computed polymorph: 132 meV/atom
- E_form (uncorrected): 78 meV per atom
- Spin magnetization: 1.825 μB/cell



DFT (PBE) results for crystalline LiTiHg3 at its relaxed geometry.

a b c (Å): 5.3662 5.3662 5.3662
angles (deg): 90.00 90.00 90.00
With the nearest neighbours (Å) after each atom.
Space group Pm-3m (No. 221)
Symmetry-distinct sites (fractional):
Li 0.0000 0.0000 0.0000 [1 per cell]  12 Hg 3.79
Ti 0.5000 0.5000 0.5000 [1 per cell]  6 Hg 2.68
Hg 0.0000 0.5000 0.5000 [3 per cell]  2 Ti 2.68

Computed properties:
- ΔE to the lowest computed polymorph: 0 meV/atom
- Spin magnetization: 1.957 μB/cell
- E_form: 0.351 eV/atom



DFT (PBE) results for crystalline AlCu2Sb at its relaxed geometry.

a b c (Å): 3.6629 3.8868 5.0529
angles (deg): 90.00 110.75 90.00
With the nearest neighbours (Å) after each atom.
Space group Pm (No. 6)
Symmetry-distinct sites (fractional):
Al 0.0000 0.0000 0.0000 [1 per cell]  7 Cu 2.65-2.78
Cu 0.5578 0.5000 0.1100 [1 per cell]  2 Cu 2.49, 1 Sb 2.59, 4 Al 2.71-2.73
Cu 0.7203 0.0000 0.4388 [1 per cell]  2 Cu 2.49, 3 Al 2.65-2.78, 4 Sb 2.73-2.74
Sb 0.2815 0.5000 0.5614 [1 per cell]  7 Cu 2.59-2.82

Computed properties:
- ΔE to the lowest computed polymorph: 4 meV/atom
- E_form (uncorrected): 37 meV per atom
- Spin magnetization: 0.000 μB/cell



DFT (PBE) results for crystalline Tm4PCSe2 at its relaxed geometry.

a b c (Å): 6.7053 3.8296 6.8689
angles (deg): 90.00 108.70 90.00
With the nearest neighbours (Å) after each atom.
Space group P2/m (No. 10)
Symmetry-distinct sites (fractional):
Tm 0.2190 0.0000 0.2092 [2 per cell]  2 C 2.56, 1 P 2.71, 1 Se 2.83
Tm 0.2388 0.5000 0.7831 [2 per cell]  1 C 2.51, 2 P 2.70
P 0.5000 0.0000 0.0000 [1 per cell]  6 Tm 2.70-2.71
C 0.0000 0.5000 0.0000 [1 per cell]  6 Tm 2.51-2.56
Se 0.0000 0.0000 0.5000 [1 per cell]  6 Tm 2.83
Se 0.5000 0.5000 0.5000 [1 per cell]  6 Tm 2.97-3.01

Computed properties:
- E_form (uncorrected): -1458 meV per atom
- Spin magnetization: 0.000 μB/cell



DFT (PBE) results for crystalline Cd3O2 at its relaxed geometry.

a b c (Å): 5.9034 10.2357 6.2442
angles (deg): 90.00 108.42 90.00
With the nearest neighbours (Å) after each atom.
Space group Cc (No. 9)
Symmetry-distinct sites (fractional):
Cd 0.0000 0.0535 0.0000 [4 per cell]  2 O 2.20-2.21
Cd 0.0629 0.4154 0.9659 [4 per cell]  3 O 2.22-2.29
Cd 0.4927 0.2714 0.9633 [4 per cell]  3 O 2.23-2.28
O 0.3874 0.0831 0.0828 [4 per cell]  4 Cd 2.20-2.29
O 0.3903 0.2512 0.5804 [4 per cell]  4 Cd 2.21-2.28

Computed properties:
- ΔE to the lowest computed polymorph: 0 meV/atom
- E_form (uncorrected): -767 meV per atom
- Spin magnetization: 0.000 μB/cell



DFT (PBE) results for crystalline PS2I at its relaxed geometry.

a b c (Å): 4.4369 4.4369 24.7051
angles (deg): 90.00 90.00 120.00
With the nearest neighbours (Å) after each atom.
Space group R-3m (No. 166, hexagonal axes)
Symmetry-distinct sites (fractional):
P 0.0000 0.0000 0.0000 [3 per cell]  2 S 1.91
S 0.0000 0.0000 0.0772 [6 per cell]  1 P 1.91
I 0.0000 0.0000 0.5000 [3 per cell]  6 S 3.38

Computed properties:
- ΔE to the lowest computed polymorph: 335 meV/atom
- E_form (uncorrected): 404 meV per atom
- Spin magnetization: 0.000 μB/cell



DFT (PBE) results for crystalline Sc2OsSe at its relaxed geometry.

a b c (Å): 6.5595 6.5595 6.5595
angles (deg): 90.00 90.00 90.00
With the nearest neighbours (Å) after each atom.
Space group F-43m (No. 216)
Symmetry-distinct sites (fractional):
Sc 0.0000 0.0000 0.0000 [4 per cell]  4 Se 2.84, 4 Sc 2.84
Sc 0.2500 0.2500 0.2500 [4 per cell]  4 Os 2.84, 4 Sc 2.84
Os 0.0000 0.0000 0.5000 [4 per cell]  4 Sc 2.84, 4 Se 2.84
Se 0.2500 0.2500 0.7500 [4 per cell]  4 Os 2.84, 4 Sc 2.84

Computed properties:
- E_form (uncorrected): -123 meV per atom
- Spin magnetization: 0.009 μB/cell



DFT (PBE) results for crystalline TiPN2 at its relaxed geometry.

a b c (Å): 2.7502 2.7502 18.4455
angles (deg): 90.00 90.00 120.00
With the nearest neighbours (Å) after each atom.
Space group R-3m (No. 166, hexagonal axes)
Symmetry-distinct sites (fractional):
Ti 0.0000 0.0000 0.0000 [3 per cell]  2 N 2.12
P 0.0000 0.0000 0.5000 [3 per cell]  6 N 1.85
N 0.0000 0.0000 0.1148 [6 per cell]  3 P 1.85

Computed properties:
- E_form (uncorrected): -81 meV per atom
- Spin magnetization: 0.006 μB/cell



DFT (PBE) results for crystalline Pm3NdS3 at its relaxed geometry.

a b c (Å): 5.6796 5.6796 5.6796
angles (deg): 90.00 90.00 90.00
With the nearest neighbours (Å) after each atom.
Space group Pm-3m (No. 221)
Symmetry-distinct sites (fractional):
Pm 0.0000 0.0000 0.5000 [3 per cell]  4 S 2.84
Nd 0.5000 0.5000 0.5000 [1 per cell]  6 S 2.84
S 0.0000 0.5000 0.5000 [3 per cell]  2 Nd 2.84, 4 Pm 2.84

Computed properties:
- E_form (uncorrected): -1679 meV per atom
- Spin magnetization: 0.000 μB/cell



DFT (PBE) results for crystalline Cr3AsPb at its relaxed geometry.

a b c (Å): 5.1227 5.1227 5.1227
angles (deg): 90.00 90.00 90.00
With the nearest neighbours (Å) after each atom.
Space group Pm-3m (No. 221)
Symmetry-distinct sites (fractional):
Cr 0.0000 0.0000 0.5000 [3 per cell]  2 Pb 2.56
As 0.5000 0.5000 0.5000 [1 per cell]  12 Cr 3.62
Pb 0.0000 0.0000 0.0000 [1 per cell]  6 Cr 2.56

Computed properties:
- ΔE to the lowest computed polymorph: 874 meV/atom
- Spin magnetization: 11.195 μB/cell
- E_form: 1.460 eV/atom